1.
! PBE FeOsSe2, relaxed; values from VASP
&SYSTEM
  ibrav = 0, nat = 4, ntyp = 3
/
ATOMIC_SPECIES
Os 190.23 Os.upf
Se 78.96 Se.upf
Fe 55.84 Fe.upf
CELL_PARAMETERS angstrom
4.975 0.013 0.000
1.911 4.593 0.000
-3.443 -2.303 2.755
ATOMIC_POSITIONS crystal
Os 0.750 0.250 0.500
Se 0.250 0.750 0.500
Se 0.000 0.000 0.000
Fe 0.500 0.500 0.000
! Energy above the most stable polymorph in this dataset ... 3.118 eV per formula unit
! Formation energy (no corrections) ... 765 meV per atom
! Total DFT energy (no corrections) ... -5.9008 eV/atom
! Total moment ... 3.185 Bohr magnetons per cell

2.
! PBE Sr2CaSbH, relaxed; values from VASP
&SYSTEM
  ibrav = 0, nat = 5, ntyp = 4
/
ATOMIC_SPECIES
Sr 87.62 Sr.upf
Ca 40.08 Ca.upf
Sb 121.76 Sb.upf
H 1.01 H.upf
CELL_PARAMETERS angstrom
5.248 0.000 0.000
0.000 5.248 0.000
0.000 0.000 5.019
ATOMIC_POSITIONS crystal
Sr 0.500 0.000 0.000
Ca 0.000 0.000 0.500
Sb 0.500 0.500 0.500
H 0.000 0.000 0.000
Sr 0.000 0.500 0.000
! Total DFT energy (no corrections) ... -3.0471 eV/atom
! Total moment ... 0.000 Bohr magnetons per cell

3.
! PBE AsIrSBr2, relaxed; values from VASP
&SYSTEM
  ibrav = 0, nat = 5, ntyp = 4
/
ATOMIC_SPECIES
As 74.92 As.upf
Br 79.90 Br.upf
Ir 192.22 Ir.upf
S 32.06 S.upf
CELL_PARAMETERS angstrom
-2.882 0.927 -4.092
3.625 -1.950 -2.995
-1.967 -4.292 0.413
ATOMIC_POSITIONS crystal
As 0.000 0.000 0.500
Br 0.000 0.500 0.000
Ir 0.000 0.000 0.000
Br 0.500 0.000 0.000
S 0.500 0.500 0.500
! Energy above the most stable polymorph in this dataset ... 0.000 eV per formula unit
! Formation energy (no corrections) ... 728 meV per atom
! Total DFT energy (no corrections) ... -3.4688 eV/atom
! Total moment ... 0.003 Bohr magnetons per cell